Entry 1:
# PBE-GGA Ta3Au4, relaxed
data_Ta3Au4
_cell_length_a 5.3956
_cell_length_b 5.3956
_cell_length_c 5.1769
_cell_angle_alpha 90.00
_cell_angle_beta 90.00
_cell_angle_gamma 120.00
_symmetry_space_group_name_H-M 'P 6/m m m'
_symmetry_Int_Tables_number 191
_symmetry_space_group_name_Hall '-P 6 2'
loop_
_atom_site_label
_atom_site_type_symbol
_atom_site_fract_x
_atom_site_fract_y
_atom_site_fract_z
Ta1 Ta 0.0000 0.5000 0.0000
Au1 Au 0.0000 0.0000 0.2518
Au2 Au 0.3333 0.6667 0.5000
# theoretical density: 16.9 Mg/m³
# energy of formation from the pure elements: 0.159 eV per atom
# uncorrected energy: -47.56 eV per cell

***

Entry 2:
# PBE-GGA Ta2Au3, relaxed
data_Ta2Au3
_cell_length_a 9.707
_cell_length_b 14.119
_cell_length_c 5.265
_cell_angle_alpha 90.00
_cell_angle_beta 90.00
_cell_angle_gamma 90.00
_symmetry_space_group_name_H-M 'F d d 2'
_symmetry_Int_Tables_number 43
_symmetry_space_group_name_Hall 'F 2 -2d'
loop_
_atom_site_label
_atom_site_type_symbol
_atom_site_fract_x
_atom_site_fract_y
_atom_site_fract_z
Ta1 Ta 0.031 0.302 0.000
Au1 Au 0.000 0.000 0.433
Au2 Au 0.040 0.395 0.474
# theoretical density: 17.5 Mg/m³
# energy of formation from the pure elements: 0.166 eV per atom
# uncorrected energy: -261.67 eV per cell

***

Entry 3:
# PBE-GGA TaAu3, relaxed
data_TaAu3
_cell_length_a 2.774
_cell_length_b 4.684
_cell_length_c 5.593
_cell_angle_alpha 90.00
_cell_angle_beta 90.17
_cell_angle_gamma 90.00
_symmetry_space_group_name_H-M 'P 1 2/m 1'
_symmetry_Int_Tables_number 10
loop_
_symmetry_equiv_pos_as_xyz
'x,y,z'
'-x,-y,-z'
'-x,y,-z'
'x,-y,z'
loop_
_atom_site_label
_atom_site_type_symbol
_atom_site_fract_x
_atom_site_fract_y
_atom_site_fract_z
Ta1 Ta 0.000 0.000 0.000
Au1 Au 0.496 0.500 0.239
Au2 Au 0.500 0.000 0.500
# theoretical density: 17.6 Mg/m³
# energy of formation from the pure elements: 0.060 eV per atom
# uncorrected energy: -21.44 eV per cell

***

Entry 4:
# PBE-GGA Ta7Au6, relaxed
data_Ta7Au6
_cell_length_a 5.4560
_cell_length_b 5.4560
_cell_length_c 28.4520
_cell_angle_alpha 90.00
_cell_angle_beta 90.00
_cell_angle_gamma 120.00
_symmetry_space_group_name_H-M 'R -3 m'
_symmetry_Int_Tables_number 166
_symmetry_space_group_name_Hall '-R 3 2"'
loop_
_atom_site_label
_atom_site_type_symbol
_atom_site_fract_x
_atom_site_fract_y
_atom_site_fract_z
Ta1 Ta 0.0000 0.0000 0.0000
Ta2 Ta 0.0000 0.5000 0.4124
Au1 Au 0.0000 0.0000 0.1659
Au2 Au 0.0000 0.0000 0.3469
Au3 Au 0.0000 0.0000 0.4515
# theoretical density: 16.6 Mg/m³
# energy of formation from the pure elements: 0.234 eV per atom
# uncorrected energy: -298.77 eV per cell

***

Entry 5:
# PBE-GGA TaTc2Au, relaxed
data_TaTc2Au
_cell_length_a 3.898
_cell_length_b 3.898
_cell_length_c 18.938
_cell_angle_alpha 90.00
_cell_angle_beta 90.00
_cell_angle_gamma 90.00
_symmetry_space_group_name_H-M 'I -4 2 d'
_symmetry_Int_Tables_number 122
_symmetry_space_group_name_Hall 'I -4 2bw'
loop_
_atom_site_label
_atom_site_type_symbol
_atom_site_fract_x
_atom_site_fract_y
_atom_site_fract_z
Ta1 Ta 0.000 0.000 0.000
Tc1 Tc 0.195 0.250 0.125
Au1 Au 0.000 0.000 0.500
# theoretical density: 13.2 Mg/m³
# energy of formation from the pure elements: 0.620 eV per atom
# uncorrected energy: -133.53 eV per cell

***

Entry 6:
# PBE-GGA Ta3TcAu, relaxed
data_Ta3TcAu
_cell_length_a 4.775
_cell_length_b 4.775
_cell_length_c 4.775
_cell_angle_alpha 90.00
_cell_angle_beta 90.00
_cell_angle_gamma 90.00
_symmetry_space_group_name_H-M 'P m -3 m'
_symmetry_Int_Tables_number 221
_symmetry_space_group_name_Hall '-P 4 2 3'
loop_
_atom_site_label
_atom_site_type_symbol
_atom_site_fract_x
_atom_site_fract_y
_atom_site_fract_z
Ta1 Ta 0.000 0.000 0.500
Tc1 Tc 0.000 0.000 0.000
Au1 Au 0.500 0.500 0.500
# theoretical density: 12.8 Mg/m³
# energy of formation from the pure elements: 1.126 eV per atom
# uncorrected energy: -43.57 eV per cell